No. 1
Density functional theory data (PBE-GGA) for a relaxed Mg2Cd2Ga crystal.

## Properties
**Energy relative to the lowest polymorph listed for this composition**: 0.101 eV/atom
**DOS(E_F)**: 2.02 states/eV/f.u.
**Space group**: No. 127
**Formation enthalpy at 0 K**: 0.2 eV per formula unit

Cell lengths 7.3914, 7.3914, 4.1618 Å; angles 90.00, 90.00, 90.00 degrees
With the nearest neighbours (Å) after each atom.
Element x y z (fractional)
Cd1 0.6520 0.8480 0.5000  6 Mg 2.93-3.05, 1 Cd 3.18
Mg1 0.6504 0.1504 0.0000  2 Ga 2.81, 6 Cd 2.93-3.05, 1 Mg 3.14
Mg2 0.8496 0.6504 0.0000  2 Ga 2.81, 6 Cd 2.93-3.05, 1 Mg 3.14
Ga1 0.5000 0.5000 0.0000  4 Mg 2.81
Mg3 0.3496 0.8496 0.0000  2 Ga 2.81, 6 Cd 2.93-3.05, 1 Mg 3.14
Mg4 0.1504 0.3496 0.0000  2 Ga 2.81, 6 Cd 2.93-3.05, 1 Mg 3.14
Cd2 0.3480 0.1520 0.5000  6 Mg 2.93-3.05, 1 Cd 3.18
Cd3 0.1520 0.6520 0.5000  6 Mg 2.93-3.05, 1 Cd 3.18
Cd4 0.8480 0.3480 0.5000  6 Mg 2.93-3.05, 1 Cd 3.18
Ga2 0.0000 0.0000 0.0000  4 Mg 2.81

***

No. 2
Density functional theory data (PBE-GGA) for a relaxed Mg3Cd3Ga crystal.

## Properties
**Energy relative to the lowest polymorph listed for this composition**: 0.011 eV/atom
**DOS(E_F)**: 4.25 states/eV/f.u.
**Space group**: No. 65
**Formation enthalpy at 0 K**: -0.5 eV per formula unit

Cell lengths 6.9230, 6.9230, 6.4002 Å; angles 90.00, 90.00, 90.11 degrees
With the nearest neighbours (Å) after each atom.
Element x y z (fractional)
Mg1 0.5000 0.0000 0.7571  2 Ga 2.90, 6 Cd 2.96-3.01, 1 Mg 3.11
Cd1 0.6658 0.3342 0.0000  2 Ga 2.92, 4 Mg 3.01, 3 Cd 3.24-3.25
Cd2 0.2765 0.2765 0.5000  6 Mg 2.96-3.15, 2 Cd 3.05, 2 Ga 3.21
Ga1 0.7482 0.7482 0.0000  6 Mg 2.90-2.92, 4 Cd 2.92-3.21
Cd3 0.7235 0.7235 0.5000  6 Mg 2.96-3.15, 2 Cd 3.05, 2 Ga 3.21
Mg2 0.0000 0.5000 0.7571  2 Ga 2.90, 6 Cd 2.96-3.01, 1 Mg 3.11
Cd4 0.3342 0.6658 0.0000  2 Ga 2.92, 4 Mg 3.01, 3 Cd 3.24-3.25
Mg3 0.5000 0.0000 0.2429  2 Ga 2.90, 6 Cd 2.96-3.01, 1 Mg 3.11
Mg4 0.0000 0.0000 0.7539  2 Ga 2.92, 2 Mg 3.15-3.25, 4 Cd 3.15-3.22
Mg5 0.0000 0.0000 0.2461  2 Ga 2.92, 2 Mg 3.15-3.25, 4 Cd 3.15-3.22
Cd5 0.2835 0.7165 0.5000  6 Mg 2.97-3.22, 4 Cd 3.05-3.24
Cd6 0.7165 0.2835 0.5000  6 Mg 2.97-3.22, 4 Cd 3.05-3.24
Ga2 0.2518 0.2518 0.0000  6 Mg 2.90-2.92, 4 Cd 2.92-3.21
Mg6 0.0000 0.5000 0.2429  2 Ga 2.90, 6 Cd 2.96-3.01, 1 Mg 3.11

***

> formation enthalpy at 0 K of number 2 (Mg3Cd3Ga)?

-0.5 eV per formula unit

***

> The lowest formation enthalpy at 0 K belongs to which entry?

Mg3Cd3Ga

***

> Among the records above, which one has the lowest energy relative to the lowest polymorph listed for this composition?

Mg3Cd3Ga

***

> Look up the formation enthalpy at 0 K of the second one.

-0.5 eV per formula unit